No. 1
Computed, not measured: SiAgPO after structural relaxation at the PBE-GGA level of DFT.

Unit cell a=4.2324 b=4.2324 c=7.7638 alpha=90.00 beta=90.00 gamma=90.00
With the nearest neighbours (Å) after each atom.
Atoms (fractional coordinates):
O 0.0000 0.5000 0.0000  4 Ag 2.16
Ag 0.5000 0.5000 0.9445  4 O 2.16
Si 0.0000 0.5000 0.5000  4 P 2.38
Si 0.5000 0.0000 0.5000  4 P 2.38
P 0.5000 0.5000 0.3611  4 Si 2.38
P 0.0000 0.0000 0.6389  4 Si 2.38
O 0.5000 0.0000 0.0000  4 Ag 2.16
Ag 0.0000 0.0000 0.0556  4 O 2.16

## Properties
The space-group type is P4/nmm. The polymorph energy (0 for the lowest one) comes out at 1149 meV/atom.

***

No. 2
Computed, not measured: SiAgPO after structural relaxation at the PBE-GGA level of DFT.

Unit cell a=2.7884 b=7.7569 c=5.8726 alpha=90.00 beta=90.00 gamma=90.00
With the nearest neighbours (Å) after each atom.
Atoms (fractional coordinates):
Si 0.5000 0.1158 0.5037  2 O 1.68
P 0.5000 0.1582 0.8794  2 Si 2.23-2.25
Si 0.5000 0.8842 0.0037  2 O 1.68
Ag 0.0000 0.4420 0.9717  2 P 2.66, 1 O 2.75, 2 Ag 2.79
Ag 0.0000 0.5580 0.4717  2 P 2.66, 1 O 2.75, 2 Ag 2.79
O 0.0000 0.2072 0.3992  2 Si 1.68
P 0.5000 0.8418 0.3794  2 Si 2.23-2.25
O 0.0000 0.7928 0.8992  2 Si 1.68

## Properties
The space-group type is Pmc2_1. The polymorph energy (0 for the lowest one) comes out at 295 meV/atom.

***

No. 3
Computed, not measured: SiAgPO after structural relaxation at the PBE-GGA level of DFT.

Unit cell a=3.5601 b=3.5601 c=9.0968 alpha=90.00 beta=90.00 gamma=90.00
With the nearest neighbours (Å) after each atom.
Atoms (fractional coordinates):
O 0.0000 0.0000 0.0000  4 Si 2.04
P 0.5000 0.0000 0.2849  4 Ag 2.65
Ag 0.5000 0.5000 0.5000  4 Ag 2.52, 4 P 2.65
P 0.0000 0.5000 0.7151  4 Ag 2.65
Si 0.5000 0.0000 0.8904  4 O 2.04
Si 0.0000 0.5000 0.1096  4 O 2.04
O 0.5000 0.5000 0.0000  4 Si 2.04
Ag 0.0000 0.0000 0.5000  4 Ag 2.52, 4 P 2.65

## Properties
The space-group type is P4/nmm. The polymorph energy (0 for the lowest one) comes out at 871 meV/atom.

***

No. 4
Computed, not measured: AgSnPO after structural relaxation at the PBE-GGA level of DFT.

Unit cell a=3.8339 b=3.8339 c=9.4400 alpha=90.00 beta=90.00 gamma=90.00
With the nearest neighbours (Å) after each atom.
Atoms (fractional coordinates):
O 0.5000 0.5000 0.0000  4 Sn 2.26
Sn 0.0000 0.5000 0.1262  4 O 2.26
Ag 0.0000 0.0000 0.5000  4 P 2.60, 4 Ag 2.71
Ag 0.5000 0.5000 0.5000  4 P 2.60, 4 Ag 2.71
Sn 0.5000 0.0000 0.8738  4 O 2.26
P 0.0000 0.5000 0.6861  4 Ag 2.60
O 0.0000 0.0000 0.0000  4 Sn 2.26
P 0.5000 0.0000 0.3139  4 Ag 2.60

## Properties
The space-group type is P4/nmm. The polymorph energy (0 for the lowest one) comes out at 62 meV/atom.

***

No. 5
Computed, not measured: AgSnPO after structural relaxation at the PBE-GGA level of DFT.

Unit cell a=3.6993 b=6.7484 c=6.5000 alpha=90.00 beta=90.00 gamma=90.00
With the nearest neighbours (Å) after each atom.
Atoms (fractional coordinates):
Ag 0.0000 0.3445 0.0243  2 P 2.41, 2 O 2.43-2.44
O 0.0000 0.6846 0.8967  2 Sn 2.11
Ag 0.0000 0.6555 0.5243  2 P 2.41, 2 O 2.43-2.44
Sn 0.5000 0.8160 0.9708  2 O 2.11
Sn 0.5000 0.1840 0.4708  2 O 2.11
O 0.0000 0.3154 0.3967  2 Sn 2.11
P 0.5000 0.8236 0.3622  2 Ag 2.41, 2 Sn 2.53-2.55
P 0.5000 0.1764 0.8622  2 Ag 2.41, 2 Sn 2.53-2.55

## Properties
The space-group type is Pmc2_1. The polymorph energy (0 for the lowest one) comes out at 67 meV/atom.

***

No. 6
Computed, not measured: AgSnPO after structural relaxation at the PBE-GGA level of DFT.

Unit cell a=4.4676 b=4.4676 c=8.1358 alpha=90.00 beta=90.00 gamma=90.00
With the nearest neighbours (Å) after each atom.
Atoms (fractional coordinates):
P 0.7500 0.7500 0.3183  4 Sn 2.68, 1 Ag 2.77
P 0.2500 0.2500 0.6817  4 Sn 2.68, 1 Ag 2.77
Sn 0.2500 0.7500 0.5000  4 P 2.68
Ag 0.2500 0.2500 0.0219  4 O 2.24
O 0.7500 0.2500 0.0000  4 Ag 2.24
Ag 0.7500 0.7500 0.9781  4 O 2.24
O 0.2500 0.7500 0.0000  4 Ag 2.24
Sn 0.7500 0.2500 0.5000  4 P 2.68

## Properties
The space-group type is P4/nmm. The polymorph energy (0 for the lowest one) comes out at 590 meV/atom.

***

No. 7
Computed, not measured: AgSnPO after structural relaxation at the PBE-GGA level of DFT.

Unit cell a=3.9494 b=6.8241 c=6.1329 alpha=90.00 beta=90.00 gamma=90.00
With the nearest neighbours (Å) after each atom.
Atoms (fractional coordinates):
Sn 0.5000 0.6462 0.5210  2 O 2.06-2.07
Ag 0.0000 0.8170 0.9889  2 P 2.45-2.48, 2 O 2.53
P 0.0000 0.1696 0.8878  2 Ag 2.45-2.48, 2 Sn 2.48
Sn 0.5000 0.3538 0.0210  2 O 2.06-2.07
Ag 0.0000 0.1830 0.4889  2 P 2.45-2.48, 2 O 2.53
O 0.5000 0.6175 0.8563  2 Sn 2.06-2.07
O 0.5000 0.3825 0.3563  2 Sn 2.06-2.07
P 0.0000 0.8304 0.3878  2 Ag 2.45-2.48, 2 Sn 2.48

## Properties
The space-group type is Pmc2_1. The polymorph energy (0 for the lowest one) comes out at 0 meV/atom.

***

No. 8
Computed, not measured: SrAgPO after structural relaxation at the PBE-GGA level of DFT.

Unit cell a=5.9607 b=5.9607 c=4.7937 alpha=90.00 beta=90.00 gamma=90.00
With the nearest neighbours (Å) after each atom.
Atoms (fractional coordinates):
Sr 0.7500 0.2500 0.5000  2 O 2.40
O 0.2500 0.7500 0.0000  2 Sr 2.40
P 0.7500 0.7500 0.5018  2 Ag 2.40
Ag 0.7500 0.7500 0.0018  2 P 2.40
O 0.7500 0.2500 0.0000  2 Sr 2.40
Ag 0.2500 0.2500 0.9982  2 P 2.40
P 0.2500 0.2500 0.4982  2 Ag 2.40
Sr 0.2500 0.7500 0.5000  2 O 2.40

## Properties
The space-group type is P4/nmm. The polymorph energy (0 for the lowest one) comes out at 579 meV/atom.

***

No. 9
Computed, not measured: SrAgPO after structural relaxation at the PBE-GGA level of DFT.

Unit cell a=4.4490 b=4.4490 c=7.8324 alpha=90.00 beta=90.00 gamma=90.00
With the nearest neighbours (Å) after each atom.
Atoms (fractional coordinates):
Sr 0.5000 0.0000 0.8801  4 O 2.41
P 0.0000 0.5000 0.6578  4 Ag 2.54
O 0.0000 0.0000 0.0000  4 Sr 2.41
O 0.5000 0.5000 0.0000  4 Sr 2.41
Ag 0.5000 0.5000 0.5000  4 P 2.54
Ag 0.0000 0.0000 0.5000  4 P 2.54
P 0.5000 0.0000 0.3422  4 Ag 2.54
Sr 0.0000 0.5000 0.1199  4 O 2.41

## Properties
The space-group type is P4/nmm. The polymorph energy (0 for the lowest one) comes out at 57 meV/atom.

***

No. 10
Computed, not measured: SrAgPO after structural relaxation at the PBE-GGA level of DFT.

Unit cell a=4.5897 b=7.1537 c=4.6896 alpha=90.00 beta=90.00 gamma=90.00
With the nearest neighbours (Å) after each atom.
Atoms (fractional coordinates):
O 0.5000 0.3734 0.5038  2 Ag 2.30, 3 Sr 2.43-2.45
Sr 0.5000 0.2838 0.0035  3 O 2.43-2.45
Ag 0.0000 0.6493 0.0037  2 O 2.30
Sr 0.5000 0.7162 0.5035  3 O 2.43-2.45
P 0.0000 0.9990 0.2430  2 P 2.34
O 0.5000 0.6266 0.0038  2 Ag 2.30, 3 Sr 2.43-2.45
P 0.0000 0.0010 0.7430  2 P 2.34
Ag 0.0000 0.3507 0.5037  2 O 2.30

## Properties
The space-group type is Pmc2_1. The polymorph energy (0 for the lowest one) comes out at 97 meV/atom.

***

No. 11
Computed, not measured: SrAgPO after structural relaxation at the PBE-GGA level of DFT.

Unit cell a=5.9566 b=5.9566 c=4.7917 alpha=90.00 beta=90.00 gamma=90.00
With the nearest neighbours (Å) after each atom.
Atoms (fractional coordinates):
P 0.0000 0.5000 0.5004  2 Ag 2.40
Sr 0.5000 0.5000 0.5000  2 O 2.40
Ag 0.5000 0.0000 0.9997  2 P 2.40
Sr 0.0000 0.0000 0.5000  2 O 2.40
O 0.5000 0.5000 0.0000  2 Sr 2.40
Ag 0.0000 0.5000 0.0003  2 P 2.40
P 0.5000 0.0000 0.4997  2 Ag 2.40
O 0.0000 0.0000 0.0000  2 Sr 2.40

## Properties
The space-group type is P4/mmm. The polymorph energy (0 for the lowest one) comes out at 579 meV/atom.

***

No. 12
Computed, not measured: SrAgPO after structural relaxation at the PBE-GGA level of DFT.

Unit cell a=3.4249 b=7.6000 c=5.7994 alpha=90.00 beta=90.00 gamma=90.00
With the nearest neighbours (Å) after each atom.
Atoms (fractional coordinates):
O 0.5000 0.5537 0.7672  1 Ag 2.21, 2 Sr 2.45
P 0.0000 0.9846 0.3619  2 Ag 2.51
Sr 0.0000 0.3781 0.5547  4 O 2.45-2.50
Ag 0.5000 0.1979 0.0702  1 O 2.21
O 0.5000 0.4463 0.2672  1 Ag 2.21, 2 Sr 2.45
Ag 0.5000 0.8021 0.5702  1 O 2.21
Sr 0.0000 0.6219 0.0547  4 O 2.45-2.50
P 0.0000 0.0154 0.8619  2 Ag 2.51

## Properties
The space-group type is Pmc2_1. The polymorph energy (0 for the lowest one) comes out at 0 meV/atom.

***

polymorph energy (0 for the lowest one) of number 4 (AgSnPO)?
62 meV/atom

***

What is the formula in the twelfth record?
SrAgPO

***

Which value of polymorph energy (0 for the lowest one) does entry 4 give?
62 meV/atom